Record 1
Ac2TbHg8 | PBE | relaxed

Geometry as POSCAR:
```
Ac2TbHg8
1.0
5.155 0.000 -1.569
-1.186 6.862 -3.897
-0.177 0.254 8.672
Hg Tb Ac
8 1 2
Direct
0.000 0.715 0.000 Hg
0.628 0.824 0.256 Hg
0.855 0.855 0.710 Hg
0.000 0.285 0.000 Hg
0.372 0.176 0.744 Hg
0.628 0.432 0.256 Hg
0.372 0.568 0.744 Hg
0.145 0.145 0.290 Hg
0.500 0.000 0.000 Tb
0.793 0.293 0.586 Ac
0.207 0.707 0.414 Ac
```

Properties
The calculation puts the energy at -1.74 eV/atom. As for the formation enthalpy at 0 K: -3.863 eV per formula unit.

---

Record 2
Ac5TbHg6 | PBE | relaxed

Geometry as POSCAR:
```
Ac5TbHg6
1.0
5.556 -0.352 0.899
-0.022 7.394 3.032
1.293 0.346 9.696
Hg Tb Ac
6 1 5
Direct
0.841 0.605 0.317 Hg
0.159 0.922 0.683 Hg
0.159 0.395 0.683 Hg
0.841 0.078 0.317 Hg
0.500 0.224 0.000 Hg
0.500 0.776 0.000 Hg
0.000 0.000 0.000 Tb
0.000 0.500 0.000 Ac
0.664 0.664 0.673 Ac
0.328 0.828 0.344 Ac
0.672 0.172 0.656 Ac
0.336 0.336 0.327 Ac
```

Properties
The calculation puts the energy at -2.71 eV/atom. As for the formation enthalpy at 0 K: -5.506 eV per formula unit.

---

Record 3
AcTb3Hg2 | PBE | relaxed

Geometry as POSCAR:
```
AcTb3Hg2
1.0
-3.480 0.148 1.428
-1.413 -1.013 -3.339
0.851 -12.184 3.338
Tb Hg Ac
3 2 1
Direct
0.000 0.000 0.290 Tb
0.000 0.000 0.710 Tb
0.000 0.000 0.000 Tb
0.500 0.500 0.853 Hg
0.500 0.500 0.147 Hg
0.500 0.500 0.500 Ac
```

Properties
The calculation puts the energy at -3.40 eV/atom. The polymorph energy (0 for the lowest one) is 0 meV per atom. As for the formation enthalpy at 0 K: -1.814 eV per formula unit.

---

Record 4
AcTbHg5 | PBE | relaxed

Geometry as POSCAR:
```
AcTbHg5
1.0
4.609 0.771 0.000
-0.771 4.609 0.000
0.000 0.000 9.272
Hg Tb Ac
5 1 1
Direct
0.000 0.500 0.742 Hg
0.000 0.000 0.500 Hg
0.000 0.500 0.258 Hg
0.500 0.000 0.258 Hg
0.500 0.000 0.742 Hg
0.500 0.500 0.500 Tb
0.000 0.000 0.000 Ac
```

Properties
The calculation puts the energy at -1.76 eV/atom. As for the formation enthalpy at 0 K: -2.080 eV per formula unit.

---

Record 5
Ac5Tb4Hg4 | PBE | relaxed

Geometry as POSCAR:
```
Ac5Tb4Hg4
1.0
5.074 0.000 1.290
2.537 9.205 0.645
0.269 0.000 9.566
Hg Ac Tb
4 5 4
Direct
0.074 0.176 0.675 Hg
0.750 0.325 0.176 Hg
0.926 0.824 0.325 Hg
0.250 0.675 0.824 Hg
0.000 0.000 0.000 Ac
0.629 0.677 0.064 Ac
0.306 0.064 0.323 Ac
0.694 0.936 0.677 Ac
0.371 0.323 0.936 Ac
0.410 0.687 0.494 Tb
0.096 0.494 0.313 Tb
0.904 0.506 0.687 Tb
0.590 0.313 0.506 Tb
```

Properties
The calculation puts the energy at -3.38 eV/atom. As for the formation enthalpy at 0 K: -3.713 eV per formula unit.

---

Record 6
AcTb3Hg2 | PBE | relaxed

Geometry as POSCAR:
```
AcTb3Hg2
1.0
-4.443 -1.604 2.669
7.401 -4.899 3.861
-1.898 8.572 1.991
Hg Tb Ac
4 6 2
Direct
0.502 0.004 0.166 Hg
0.498 0.996 0.834 Hg
0.223 0.446 0.833 Hg
0.777 0.554 0.167 Hg
0.066 0.132 0.411 Tb
0.616 0.233 0.713 Tb
0.384 0.767 0.287 Tb
0.934 0.868 0.589 Tb
0.697 0.395 0.398 Tb
0.303 0.605 0.602 Tb
0.130 0.261 0.073 Ac
0.870 0.739 0.927 Ac
```

Properties
The calculation puts the energy at -3.36 eV/atom. The polymorph energy (0 for the lowest one) is 44 meV per atom. As for the formation enthalpy at 0 K: -1.551 eV per formula unit.